DFT (PBE) results for an optimized crystal structure of Sr2SbPt2.

Cell: 5.9393 5.9123 8.5737 Å, 101.64 90.00 120.15°
With the nearest neighbours (Å) after each atom.
Element x y z (fractional)
Sr  0.2104  0.7006  0.3483  6 Pt 3.19-3.33, 3 Sb 3.48-3.56
Sb  0.1457  0.0000  0.7500  4 Pt 2.74-2.87
Pt  0.9946  0.7308  0.0086  1 Pt 2.74, 2 Sb 2.74-2.87
Sb  0.8543  0.0000  0.2500  4 Pt 2.74-2.87
Sr  0.5098  0.2994  0.1517  6 Pt 3.19-3.33, 3 Sb 3.48-3.56
Pt  0.0054  0.2692  0.9914  1 Pt 2.74, 2 Sb 2.74-2.87
Pt  0.7362  0.7308  0.5086  1 Pt 2.74, 2 Sb 2.74-2.87
Pt  0.2638  0.2692  0.4914  1 Pt 2.74, 2 Sb 2.74-2.87
Sr  0.4902  0.7006  0.8483  6 Pt 3.19-3.33, 3 Sb 3.48-3.56
Sr  0.7896  0.2994  0.6517  6 Pt 3.19-3.33, 3 Sb 3.48-3.56

Properties
The value obtained for the uncorrected formation energy is -0.918 eV/atom. The density of states at the Fermi level is 6.21 states/eV per cell.